Computed, not measured: crystalline AcRuWO6 at its relaxed geometry at the PBE with a Hubbard U level of DFT.

Structure (POSCAR):
```
AcRuWO6
1.0
5.727 0.000 0.000
-2.864 4.960 0.000
0.000 0.000 8.142
Ac Ru W O
2 2 2 12
direct
0.333 0.667 0.250
0.667 0.333 0.750
0.000 0.000 0.000
0.000 0.000 0.500
0.333 0.667 0.750
0.667 0.333 0.250
0.080 0.363 0.614
0.080 0.717 0.886
0.283 0.363 0.886
0.283 0.920 0.614
0.363 0.080 0.114
0.363 0.283 0.386
0.637 0.717 0.614
0.637 0.920 0.886
0.717 0.080 0.386
0.717 0.637 0.114
0.920 0.283 0.114
0.920 0.637 0.386
```

Calculated values
Final energy, eV per atom: -7.450
Total magnetization, μB/f.u.: 1.0
Density of states at the Fermi level, states/eV/atom: 0.39